(1)
Material: CsTaGa3
Method: DFT, PBE
State: optimized geometry

Cell lengths 5.261, 5.261, 5.261 Å; angles 90.00, 90.00, 90.00 degrees
Fractional positions:
Ga  0.000  0.000  0.500
Ga  0.000  0.500  0.000
Cs  0.500  0.500  0.500
Ga  0.500  0.000  0.000
Ta  0.000  0.000  0.000

Its calculated density is 5.963 Mg/m³. As for the energy of formation: 0.269 eV/atom. The calculation puts the density of states at the Fermi level at 4.32 states/eV/cell. The calculation puts the energy above the lowest structure with this stoichiometry at 0 meV per atom.

***

(2)
Material: La2YTiSe
Method: DFT, PBE
State: optimized geometry

Cell lengths 5.779, 4.773, 5.779 Å; angles 90.00, 90.00, 90.00 degrees
Fractional positions:
La  0.000  0.000  0.500
Se  0.000  0.000  0.000
La  0.500  0.000  0.000
Ti  0.000  0.500  0.000
Y  0.500  0.500  0.500

Its calculated density is 5.141 Mg/m³. The uncorrected formation energy comes out at -0.364 eV/atom. The calculation puts the density of states at the Fermi level at 7.19 states/eV/cell.

***

(3)
Material: Sn2SbPt
Method: DFT, PBE
State: optimized geometry

Cell lengths 6.278, 6.278, 7.923 Å; angles 66.66, 66.66, 90.00 degrees
Fractional positions:
Pt  0.750  0.250  0.500
Sn  0.375  0.328  0.750
Pt  0.000  0.000  0.000
Sn  0.875  0.922  0.750
Sb  0.500  0.500  0.000
Sn  0.672  0.125  0.250
Sb  0.250  0.750  0.500
Sn  0.078  0.625  0.250

Its calculated density is 7.117 Mg/m³. The uncorrected formation energy comes out at -0.077 eV/atom. The calculation puts the density of states at the Fermi level at 4.45 states/eV/cell.

***

(4)
Material: K2BeSi
Method: DFT, PBE
State: optimized geometry

Cell lengths 11.497, 11.497, 11.497 Å; angles 16.65, 16.65, 16.65 degrees
Fractional positions:
K  0.998  0.998  0.998
K  0.502  0.502  0.502
Be  0.750  0.750  0.750
Si  0.250  0.250  0.250

Its calculated density is 1.759 Mg/m³. The uncorrected formation energy comes out at 1.024 eV/atom. The calculation puts the density of states at the Fermi level at 3.36 states/eV/cell. The calculation puts the energy above the lowest structure with this stoichiometry at 859 meV per atom.

***

(5)
Material: La2HgSb
Method: DFT, PBE
State: optimized geometry

Cell lengths 5.733, 5.733, 5.733 Å; angles 125.78, 125.85, 80.19 degrees
Fractional positions:
Sb  0.750  0.250  0.500
La  0.500  0.500  0.000
La  0.000  0.000  0.000
Hg  0.250  0.750  0.500

Its calculated density is 8.335 Mg/m³. The uncorrected formation energy comes out at -0.767 eV/atom. The calculation puts the density of states at the Fermi level at 3.92 states/eV/cell. The calculation puts the energy above the lowest structure with this stoichiometry at 65 meV per atom.

***

(6)
Material: Mg2InAs
Method: DFT, PBE
State: optimized geometry

Cell lengths 4.307, 3.118, 6.922 Å; angles 77.36, 90.00, 90.00 degrees
Fractional positions:
As  0.000  0.727  0.424
Mg  0.500  0.292  0.295
Mg  0.000  0.932  0.008
In  0.500  0.548  0.773

Its calculated density is 4.364 Mg/m³. As for the energy of formation: -0.136 eV/atom. The calculation puts the density of states at the Fermi level at 1.43 states/eV/cell. The calculation puts the energy above the lowest structure with this stoichiometry at 141 meV per atom.

***

(7)
Material: TlRu3
Method: DFT, PBE
State: optimized geometry

Cell lengths 4.499, 4.499, 4.499 Å; angles 60.00, 60.00, 60.00 degrees
Each line ends with the local moment (μB).
Fractional positions:
Tl  0.750  0.750  0.750  0.01
Ru  0.000  0.000  0.000  0.22
Ru  0.500  0.500  0.500  0.22
Ru  0.250  0.250  0.250  1.17

Its calculated density is 13.094 Mg/m³. As for the energy of formation: 0.678 eV/atom. The calculation puts the density of states at the Fermi level at 4.70 states/eV/cell. The calculation puts the energy above the lowest structure with this stoichiometry at 229 meV per atom.

***

(8)
Material: KSrLa2Ir
Method: DFT, PBE
State: optimized geometry

Cell lengths 5.684, 5.684, 6.333 Å; angles 90.00, 90.00, 90.00 degrees
Fractional positions:
K  0.500  0.500  0.500
La  0.000  0.500  0.000
La  0.500  0.000  0.000
Ir  0.000  0.000  0.000
Sr  0.000  0.000  0.500

Its calculated density is 4.844 Mg/m³. As for the energy of formation: -0.213 eV/atom. The calculation puts the density of states at the Fermi level at 4.82 states/eV/cell. The calculation puts the energy above the lowest structure with this stoichiometry at 0 meV per atom.

***

(9)
Material: Pm3BC3
Method: DFT, PBE
State: optimized geometry

Cell lengths 5.351, 7.174, 7.174 Å; angles 120.00, 90.00, 90.00 degrees
Fractional positions:
C  0.750  0.577  0.888
Pm  0.750  0.934  0.297
Pm  0.750  0.364  0.066
B  0.250  0.667  0.333
Pm  0.250  0.636  0.934
C  0.750  0.311  0.423
C  0.250  0.888  0.311
Pm  0.750  0.703  0.636
C  0.750  0.112  0.689
Pm  0.250  0.066  0.703
C  0.250  0.423  0.112
B  0.750  0.333  0.667
Pm  0.250  0.297  0.364
C  0.250  0.689  0.577

Its calculated density is 6.709 Mg/m³. As for the energy of formation: -0.144 eV/atom. The calculation puts the density of states at the Fermi level at 0.44 states/eV/cell.

***

(10)
Material: Zr6FeNi
Method: DFT, PBE
State: optimized geometry

Cell lengths 5.395, 6.840, 6.840 Å; angles 66.65, 74.76, 105.24 degrees
Fractional positions:
Ni  0.500  0.000  0.000
Zr  0.146  0.686  0.000
Zr  0.854  0.000  0.686
Fe  0.000  0.000  0.000
Zr  0.461  0.314  0.686
Zr  0.146  0.000  0.314
Zr  0.539  0.686  0.314
Zr  0.854  0.314  0.000

Its calculated density is 5.402 Mg/m³. As for the energy of formation: 0.742 eV/atom. The calculation puts the density of states at the Fermi level at 10.35 states/eV/cell.

***

(11)
Material: RbNa2TmI6
Method: DFT, PBE
State: optimized geometry

Cell lengths 8.221, 8.220, 8.896 Å; angles 62.47, 62.48, 59.99 degrees
Fractional positions:
I  0.154  0.360  0.764
I  0.722  0.154  0.764
I  0.567  0.254  0.231
Na  0.001  0.002  0.996
I  0.254  0.947  0.231
Na  0.517  0.517  0.448
I  0.947  0.567  0.231
Rb  0.810  0.810  0.570
I  0.360  0.722  0.764
Tm  0.328  0.328  0.015

Its calculated density is 4.005 Mg/m³. The uncorrected formation energy comes out at -1.338 eV/atom. The calculation puts the density of states at the Fermi level at 0.00 states/eV/cell.

***

(12)
Material: SmGd2Mg
Method: DFT, PBE
State: optimized geometry

Cell lengths 3.617, 3.617, 9.375 Å; angles 90.00, 90.00, 90.00 degrees
Each line ends with the local moment (μB).
Fractional positions:
Sm  0.500  0.500  0.500  0.05
Gd  0.000  0.000  0.768  -7.15
Mg  0.500  0.500  0.000  0.00
Gd  0.000  0.000  0.232  -7.15

Its calculated density is 6.624 Mg/m³. As for the energy of formation: -0.034 eV/atom. The calculation puts the density of states at the Fermi level at 5.68 states/eV/cell. The calculation puts the energy above the lowest structure with this stoichiometry at 0 meV per atom.

***

(13)
Material: NbSi3W
Method: DFT, PBE
State: optimized geometry

Cell lengths 4.687, 4.687, 4.687 Å; angles 90.00, 90.00, 90.00 degrees
Each line ends with the local moment (μB).
Fractional positions:
W  0.000  0.000  0.000  0.09
Nb  0.500  0.500  0.500  2.24
Si  0.000  0.500  0.000  0.02
Si  0.000  0.000  0.500  -0.02
Si  0.500  0.000  0.000  0.02

Its calculated density is 5.823 Mg/m³. The uncorrected formation energy comes out at 1.067 eV/atom. The calculation puts the density of states at the Fermi level at 7.73 states/eV/cell. The calculation puts the energy above the lowest structure with this stoichiometry at 0 meV per atom.

***

(14)
Material: LaGdAl2
Method: DFT, PBE
State: optimized geometry

Cell lengths 3.717, 3.717, 7.427 Å; angles 90.00, 90.00, 90.00 degrees
Each line ends with the local moment (μB).
Fractional positions:
Al  0.000  0.000  0.769  -0.01
Gd  0.500  0.500  0.000  7.05
La  0.500  0.500  0.500  -0.04
Al  0.000  0.000  0.231  -0.01

Its calculated density is 5.665 Mg/m³. As for the energy of formation: -0.382 eV/atom. The calculation puts the density of states at the Fermi level at 1.50 states/eV/cell. The calculation puts the energy above the lowest structure with this stoichiometry at 0 meV per atom.

***

(15)
Material: Sr2LiCa5
Method: DFT, PBE
State: optimized geometry

Cell lengths 4.126, 9.479, 17.411 Å; angles 90.00, 90.00, 90.00 degrees
Fractional positions:
Li  0.000  0.000  0.500
Ca  0.500  0.219  0.381
Ca  0.000  0.000  0.000
Sr  0.500  0.714  0.883
Ca  0.500  0.781  0.619
Sr  0.500  0.214  0.617
Ca  0.000  0.500  0.500
Ca  0.500  0.281  0.881
Ca  0.000  0.999  0.769
Ca  0.500  0.719  0.119
Li  0.000  0.500  0.000
Ca  0.000  0.499  0.731
Sr  0.500  0.286  0.117
Ca  0.000  0.501  0.269
Sr  0.500  0.786  0.383
Ca  0.000  0.001  0.231

Its calculated density is 1.866 Mg/m³. As for the energy of formation: 0.027 eV/atom. The calculation puts the density of states at the Fermi level at 16.20 states/eV/cell. The calculation puts the energy above the lowest structure with this stoichiometry at 0 meV per atom.

***

(16)
Material: Sc2Ag2Bi
Method: DFT, PBE
State: optimized geometry

Cell lengths 8.027, 8.027, 3.562 Å; angles 90.00, 90.00, 90.00 degrees
Fractional positions:
Sc  0.840  0.660  0.000
Bi  0.500  0.500  0.000
Sc  0.160  0.340  0.000
Ag  0.870  0.370  0.500
Ag  0.130  0.630  0.500
Sc  0.340  0.840  0.000
Ag  0.630  0.870  0.500
Sc  0.660  0.160  0.000
Bi  0.000  0.000  0.000
Ag  0.370  0.130  0.500

Its calculated density is 7.446 Mg/m³. As for the energy of formation: -0.164 eV/atom. The calculation puts the density of states at the Fermi level at 7.73 states/eV/cell. The calculation puts the energy above the lowest structure with this stoichiometry at 103 meV per atom.

***

(17)
Material: La5NdHg2
Method: DFT, PBE
State: optimized geometry

Cell lengths 5.629, 5.629, 20.387 Å; angles 90.00, 90.00, 120.00 degrees
Fractional positions:
La  0.000  0.000  0.659
La  0.333  0.667  0.562
Nd  0.333  0.667  0.250
Hg  0.667  0.333  0.596
La  0.333  0.667  0.938
La  0.000  0.000  0.841
Hg  0.333  0.667  0.096
La  0.667  0.333  0.250
Nd  0.667  0.333  0.750
La  0.667  0.333  0.438
La  0.667  0.333  0.062
Hg  0.667  0.333  0.904
Hg  0.333  0.667  0.404
La  0.000  0.000  0.341
La  0.000  0.000  0.159
La  0.333  0.667  0.750

Its calculated density is 7.361 Mg/m³. As for the energy of formation: -0.139 eV/atom. The calculation puts the density of states at the Fermi level at 25.67 states/eV/cell.

***

(18)
Material: CeGaO2
Method: DFT, PBE
State: optimized geometry

Cell lengths 3.099, 3.099, 7.064 Å; angles 77.33, 77.33, 60.00 degrees
Each line ends with the local moment (μB).
Fractional positions:
Ce  0.000  0.000  0.000  0.87
O  0.117  0.117  0.649  0.01
Ga  0.500  0.500  0.500  0.02
O  0.883  0.883  0.351  0.01

Its calculated density is 7.065 Mg/m³. The uncorrected formation energy comes out at -1.558 eV/atom. The calculation puts the density of states at the Fermi level at 3.86 states/eV/cell. The calculation puts the energy above the lowest structure with this stoichiometry at 480 meV per atom.

***

(19)
Material: Cs3Tb3NpS8
Method: DFT, PBE
State: optimized geometry

Cell lengths 8.154, 8.155, 9.461 Å; angles 115.55, 90.00, 120.00 degrees
Each line ends with the local moment (μB).
Fractional positions:
S  0.267  0.045  0.323  -0.04
S  0.273  0.546  0.320  0.00
S  0.222  0.444  0.677  -0.04
Tb  0.000  0.500  0.500  0.01
Tb  0.500  0.500  0.500  0.01
S  0.778  0.556  0.323  -0.04
S  0.222  0.955  0.677  -0.04
Cs  0.000  0.000  0.000  0.00
Cs  0.500  0.500  0.000  0.00
Cs  0.000  0.500  0.000  0.00
Np  0.000  0.000  0.500  3.20
Tb  0.500  0.000  0.500  0.01
S  0.727  0.454  0.680  0.00
S  0.778  0.045  0.323  -0.04
S  0.733  0.955  0.677  -0.04

Its calculated density is 4.812 Mg/m³. The uncorrected formation energy comes out at -1.745 eV/atom. The calculation puts the density of states at the Fermi level at 3.94 states/eV/cell.

***

(20)
Material: Tb2Sm2Bi5
Method: DFT, PBE
State: optimized geometry

Cell lengths 8.509, 9.095, 9.095 Å; angles 125.72, 90.00, 90.00 degrees
Fractional positions:
Bi  0.350  0.711  0.989
Bi  0.850  0.511  0.789
Bi  0.650  0.011  0.289
Bi  0.650  0.289  0.011
Bi  0.500  0.500  0.500
Bi  0.150  0.489  0.211
Tb  0.341  0.155  0.155
Bi  0.350  0.989  0.711
Sm  0.000  0.192  0.808
Tb  0.159  0.655  0.655
Tb  0.841  0.345  0.345
Tb  0.659  0.845  0.845
Sm  0.000  0.808  0.192
Bi  0.000  0.000  0.000
Bi  0.150  0.211  0.489
Bi  0.850  0.789  0.511
Sm  0.500  0.692  0.308
Sm  0.500  0.308  0.692

Its calculated density is 9.667 Mg/m³. As for the energy of formation: -0.681 eV/atom. The calculation puts the density of states at the Fermi level at 11.52 states/eV/cell.

***

(21)
Material: Sc4CuRh3
Method: DFT, PBE
State: optimized geometry

Cell lengths 3.212, 3.212, 13.194 Å; angles 90.00, 90.00, 90.00 degrees
Fractional positions:
Sc  0.000  0.000  0.874
Sc  0.000  0.000  0.625
Rh  0.500  0.500  0.500
Rh  0.500  0.500  0.750
Cu  0.500  0.500  0.000
Rh  0.500  0.500  0.250
Sc  0.000  0.000  0.126
Sc  0.000  0.000  0.375

Its calculated density is 6.735 Mg/m³. As for the energy of formation: -0.833 eV/atom. The calculation puts the density of states at the Fermi level at 5.18 states/eV/cell.

***

(22)
Material: PC2Se
Method: DFT, PBE
State: optimized geometry

Cell lengths 5.013, 5.013, 5.272 Å; angles 61.61, 61.61, 90.00 degrees
Fractional positions:
C  0.875  0.785  0.750
C  0.375  0.465  0.750
Se  0.000  0.000  0.000
P  0.500  0.500  0.000
Se  0.750  0.250  0.500
C  0.215  0.625  0.250
C  0.535  0.125  0.250
P  0.250  0.750  0.500

Its calculated density is 4.537 Mg/m³. The uncorrected formation energy comes out at 1.192 eV/atom. The calculation puts the density of states at the Fermi level at 4.67 states/eV/cell. The calculation puts the energy above the lowest structure with this stoichiometry at 0 meV per atom.

***

(23)
Material: Sr2Ga2Hg
Method: DFT, PBE
State: optimized geometry

Cell lengths 8.387, 8.387, 4.219 Å; angles 90.00, 90.00, 90.00 degrees
Fractional positions:
Hg  0.500  0.500  0.000
Sr  0.313  0.187  0.500
Sr  0.813  0.313  0.500
Ga  0.892  0.608  0.000
Ga  0.108  0.392  0.000
Sr  0.687  0.813  0.500
Ga  0.392  0.892  0.000
Sr  0.187  0.687  0.500
Hg  0.000  0.000  0.000
Ga  0.608  0.108  0.000

Its calculated density is 5.766 Mg/m³. As for the energy of formation: -0.343 eV/atom. The calculation puts the density of states at the Fermi level at 6.67 states/eV/cell. The calculation puts the energy above the lowest structure with this stoichiometry at 96 meV per atom.

***

(24)
Material: CaSm6Er5
Method: DFT, PBE
State: optimized geometry

Cell lengths 6.223, 8.022, 8.022 Å; angles 84.80, 97.51, 97.51 degrees
Fractional positions:
Ca  0.000  0.000  0.000
Sm  0.748  0.575  0.917
Sm  0.748  0.917  0.575
Sm  0.252  0.083  0.425
Er  0.500  0.172  0.828
Er  0.500  0.828  0.172
Sm  0.252  0.425  0.083
Er  0.000  0.661  0.339
Er  0.500  0.500  0.500
Sm  0.740  0.252  0.252
Sm  0.260  0.748  0.748
Er  0.000  0.339  0.661

Its calculated density is 7.524 Mg/m³. As for the energy of formation: 0.039 eV/atom. The calculation puts the density of states at the Fermi level at 14.48 states/eV/cell.

***

no.,final energy (eV for the cell shown)
1,-20.442
2,-29.519
3,-36.954
4,-7.247
5,-17.346
6,-11.120
7,-27.483
8,-22.559
9,-99.215
10,-59.597
11,-30.758
12,-34.613
13,-33.955
14,-28.023
15,-30.145
16,-46.137
17,-62.247
18,-25.109
19,-88.583
20,-88.467
21,-58.141
22,-45.149
23,-22.871
24,-52.661